The following is a GGA-PBE calculation of a relaxed La3Nd2DyAs6 crystal, from the Alexandria database.

Output
calculated volume = 28.11 Å³ per atom
density of states at the Fermi level = 1.47 states/eV/f.u.
energy of formation = -149 kJ/mol of atoms
E_tot = -6.27 eV/atom

Unit cell a=18.737 b=4.302 c=8.599 alpha=90.00 beta=103.28 gamma=90.00
Space group C2/m (No. 12)
One atom of each set of equivalent atoms:
La1 0.000 0.000 0.000 x2
La2 0.167 0.500 0.334 x4
Nd1 0.166 0.500 0.832 x4
Dy1 0.000 0.000 0.500 x2
As1 0.000 0.500 0.259 x4
As2 0.163 0.000 0.584 x4
As3 0.168 0.000 0.081 x4